## NaCrCuF6 (PBE with a Hubbard U)

Data for NaCrCuF6 after structural relaxation.

Computed properties:
Crystal system: trigonal
Magnetic moment (μB/cell): 8.0
Symmetry: No. 163

a = 5.292 Å, b = 5.292 Å, c = 9.804 Å
α = 90.00°, β = 90.00°, γ = 120.00°
Sites, in units of the cell vectors:
Na (0.000, 0.000, 0.000)
Na (0.000, 0.000, 0.500)
Cr (0.333, 0.667, 0.250)
Cr (0.667, 0.333, 0.750)
Cu (0.333, 0.667, 0.750)
Cu (0.667, 0.333, 0.250)
F (0.015, 0.368, 0.141)
F (0.015, 0.647, 0.359)
F (0.353, 0.368, 0.359)
F (0.353, 0.985, 0.141)
F (0.368, 0.015, 0.641)
F (0.368, 0.353, 0.859)
F (0.632, 0.647, 0.141)
F (0.632, 0.985, 0.359)
F (0.647, 0.015, 0.859)
F (0.647, 0.632, 0.641)
F (0.985, 0.353, 0.641)
F (0.985, 0.632, 0.859)

---

## CrCuNiF6 (PBE with a Hubbard U)

Data for CrCuNiF6 after structural relaxation.

Computed properties:
Crystal system: trigonal
Magnetic moment (μB/cell): 5.8
Symmetry: No. 163

a = 5.239 Å, b = 5.239 Å, c = 9.303 Å
α = 90.00°, β = 90.00°, γ = 120.00°
Sites, in units of the cell vectors:
Cr (0.333, 0.667, 0.250)
Cr (0.667, 0.333, 0.750)
Cu (0.000, 0.000, 0.000)
Cu (0.000, 0.000, 0.500)
Ni (0.333, 0.667, 0.750)
Ni (0.667, 0.333, 0.250)
F (0.011, 0.358, 0.137)
F (0.011, 0.653, 0.363)
F (0.347, 0.358, 0.363)
F (0.347, 0.989, 0.137)
F (0.358, 0.011, 0.637)
F (0.358, 0.347, 0.863)
F (0.642, 0.653, 0.137)
F (0.642, 0.989, 0.363)
F (0.653, 0.011, 0.863)
F (0.653, 0.642, 0.637)
F (0.989, 0.347, 0.637)
F (0.989, 0.642, 0.863)

---

## CrCu2PbF8 (PBE with a Hubbard U)

Data for CrCu2PbF8 after structural relaxation.

Computed properties:
Crystal system: tetragonal
Magnetic moment (μB/cell): 3.9
Symmetry: No. 82

a = 6.688 Å, b = 6.688 Å, c = 6.688 Å
α = 131.97°, β = 131.97°, γ = 70.28°
Sites, in units of the cell vectors:
Cr (0.000, 0.000, 0.000)
Cu (0.250, 0.750, 0.500)
Cu (0.500, 0.500, 0.000)
Pb (0.750, 0.250, 0.500)
F (0.015, 0.695, 0.068)
F (0.053, 0.985, 0.681)
F (0.157, 0.251, 0.497)
F (0.305, 0.373, 0.319)
F (0.341, 0.843, 0.094)
F (0.627, 0.947, 0.932)
F (0.749, 0.246, 0.906)
F (0.754, 0.659, 0.503)

---

## Rb3CrCu2F9 (PBE with a Hubbard U)

Data for Rb3CrCu2F9 after structural relaxation.

Computed properties:
Crystal system: trigonal
Magnetic moment (μB/cell): 4.0
Symmetry: No. 164

a = 5.949 Å, b = 5.949 Å, c = 7.296 Å
α = 90.00°, β = 90.00°, γ = 120.00°
Sites, in units of the cell vectors:
Rb (0.000, 0.000, 0.000)
Rb (0.333, 0.667, 0.675)
Rb (0.667, 0.333, 0.325)
Cr (0.000, 0.000, 0.500)
Cu (0.333, 0.667, 0.157)
Cu (0.667, 0.333, 0.843)
F (0.000, 0.500, 0.000)
F (0.157, 0.314, 0.345)
F (0.157, 0.843, 0.345)
F (0.314, 0.157, 0.655)
F (0.500, 0.000, 0.000)
F (0.500, 0.500, 0.000)
F (0.686, 0.843, 0.345)
F (0.843, 0.157, 0.655)
F (0.843, 0.686, 0.655)

---

Number 1: electronic total energy -5.029 eV/atom. Number 2: electronic total energy -4.803 eV/atom. Number 3: electronic total energy -4.778 eV/atom. Number 4: electronic total energy -4.710 eV/atom.